a:
Crystalline AcLuZr at its relaxed geometry, computed with PBE.

Results
Symmetry: No. 107
Total magnetization (μB/f.u.): 0.00

abc: 8.0988 8.0988 8.0988
angles: 155.07 155.07 35.54
Atoms (fractional coordinates):
Ac: 0.0000 0.0000 0.0000
Lu: 0.3078 0.3078 0.0000
Zr: 0.6696 0.6696 0.0000


b:
Crystalline AcLuZr at its relaxed geometry, computed with PBE.

Results
Symmetry: No. 156
Total magnetization (μB/f.u.): 0.00

abc: 3.5661 3.5661 8.4435
angles: 90.00 90.00 120.00
Atoms (fractional coordinates):
Ac: 0.0000 0.0000 0.0000
Lu: 0.3333 0.6667 0.6287
Zr: 0.6667 0.3333 0.3290


Winner for stability: a


a:
Crystalline Ac5Mg at its relaxed geometry, computed with PBE.

Results
Symmetry: No. 65
Total magnetization (μB/f.u.): 0.00

abc: 8.7213 8.7213 5.5256
angles: 90.00 90.00 143.38
Atoms (fractional coordinates):
Ac: 0.0000 0.0000 0.0000
Ac: 0.1645 0.8355 0.5000
Ac: 0.3353 0.6647 0.0000
Ac: 0.6647 0.3353 0.0000
Ac: 0.8355 0.1645 0.5000
Mg: 0.5000 0.5000 0.5000


b:
Crystalline Ac5Mg at its relaxed geometry, computed with PBE.

Results
Symmetry: No. 123
Total magnetization (μB/f.u.): 0.00

abc: 4.0289 4.0289 15.4829
angles: 90.00 90.00 90.00
Atoms (fractional coordinates):
Ac: 0.0000 0.0000 0.0000
Ac: 0.0000 0.0000 0.3615
Ac: 0.0000 0.0000 0.6385
Ac: 0.5000 0.5000 0.1818
Ac: 0.5000 0.5000 0.8182
Mg: 0.5000 0.5000 0.5000


c:
Crystalline Ac5Mg at its relaxed geometry, computed with PBE.

Results
Symmetry: No. 65
Total magnetization (μB/f.u.): 0.00

abc: 10.2318 10.2318 4.1478
angles: 90.00 90.00 144.36
Atoms (fractional coordinates):
Ac: 0.0000 0.0000 0.0000
Ac: 0.1817 0.8183 0.5000
Ac: 0.3566 0.6434 0.0000
Ac: 0.6434 0.3566 0.0000
Ac: 0.8183 0.1817 0.5000
Mg: 0.5000 0.5000 0.5000


Winner for stability: b


a:
Crystalline Ac4Mg at its relaxed geometry, computed with PBE.

Results
Symmetry: No. 15
Total magnetization (μB/f.u.): 0.00

abc: 10.5602 10.5602 6.6863
angles: 101.18 101.18 137.58
Atoms (fractional coordinates):
Ac: 0.0445 0.4642 0.7526
Ac: 0.1074 0.2678 0.1313
Ac: 0.2678 0.1074 0.6313
Ac: 0.4642 0.0445 0.2526
Ac: 0.5358 0.9555 0.7474
Ac: 0.7322 0.8926 0.3687
Ac: 0.8926 0.7322 0.8687
Ac: 0.9555 0.5358 0.2474
Mg: 0.4395 0.5605 0.7500
Mg: 0.5605 0.4395 0.2500


b:
Crystalline Ac4Mg at its relaxed geometry, computed with PBE.

Results
Symmetry: No. 221
Total magnetization (μB/f.u.): 0.00

abc: 6.2151 6.2151 6.2151
angles: 90.00 90.00 90.00
Atoms (fractional coordinates):
Ac: 0.0000 0.0000 0.0000
Ac: 0.0000 0.5000 0.5000
Ac: 0.5000 0.0000 0.5000
Ac: 0.5000 0.5000 0.0000
Mg: 0.5000 0.5000 0.5000


Winner for stability: a


a:
Crystalline NaAc2Mg at its relaxed geometry, computed with PBE.

Results
Symmetry: No. 123
Total magnetization (μB/f.u.): 0.00

abc: 4.1438 4.1438 8.8627
angles: 90.00 90.00 90.00
Atoms (fractional coordinates):
Na: 0.0000 0.0000 0.0000
Ac: 0.5000 0.5000 0.2755
Ac: 0.5000 0.5000 0.7245
Mg: 0.0000 0.0000 0.5000


b:
Crystalline NaAc2Mg at its relaxed geometry, computed with PBE.

Results
Symmetry: No. 166
Total magnetization (μB/f.u.): 0.00

abc: 13.2712 13.2712 13.2712
angles: 16.54 16.54 16.54
Atoms (fractional coordinates):
Na: 0.0000 0.0000 0.0000
Ac: 0.0963 0.0963 0.0963
Ac: 0.9037 0.9037 0.9037
Mg: 0.5000 0.5000 0.5000


Winner for stability: a


a:
Crystalline AcNd2Mg at its relaxed geometry, computed with PBE.

Results
Symmetry: No. 166
Total magnetization (μB/f.u.): 0.00

abc: 13.0143 13.0143 13.0143
angles: 16.15 16.15 16.15
Atoms (fractional coordinates):
Ac: 0.0000 0.0000 0.0000
Nd: 0.4125 0.4125 0.4125
Nd: 0.5875 0.5875 0.5875
Mg: 0.5000 0.5000 0.5000


b:
Crystalline AcNd2Mg at its relaxed geometry, computed with PBE.

Results
Symmetry: No. 160
Total magnetization (μB/f.u.): 0.00

abc: 11.8492 11.8492 11.8492
angles: 18.23 18.23 18.23
Atoms (fractional coordinates):
Ac: 0.0000 0.0000 0.0000
Nd: 0.2420 0.2420 0.2420
Nd: 0.4243 0.4243 0.4243
Mg: 0.8333 0.8333 0.8333


c:
Crystalline AcNd2Mg at its relaxed geometry, computed with PBE.

Results
Symmetry: No. 123
Total magnetization (μB/f.u.): 0.00

abc: 3.8832 3.8832 9.1440
angles: 90.00 90.00 90.00
Atoms (fractional coordinates):
Ac: 0.0000 0.0000 0.0000
Nd: 0.5000 0.5000 0.2866
Nd: 0.5000 0.5000 0.7134
Mg: 0.0000 0.0000 0.5000


Winner for stability: c


a:
Crystalline AcNd2Mg at its relaxed geometry, computed with PBE.

Results
Symmetry: No. 225
Total magnetization (μB/f.u.): 0.00

abc: 5.8111 5.8111 5.8111
angles: 60.00 60.00 60.00
Atoms (fractional coordinates):
Ac: 0.0000 0.0000 0.0000
Nd: 0.2500 0.2500 0.2500
Nd: 0.7500 0.7500 0.7500
Mg: 0.5000 0.5000 0.5000


b:
Crystalline AcNd2Mg at its relaxed geometry, computed with PBE.

Results
Symmetry: No. 123
Total magnetization (μB/f.u.): 0.00

abc: 5.1211 5.1211 5.2632
angles: 90.00 90.00 90.00
Atoms (fractional coordinates):
Ac: 0.0000 0.0000 0.0000
Nd: 0.0000 0.5000 0.5000
Nd: 0.5000 0.0000 0.5000
Mg: 0.5000 0.5000 0.0000


Winner for stability: b


a:
Crystalline Ac2NdMg2 at its relaxed geometry, computed with PBE.

Results
Symmetry: No. 65
Total magnetization (μB/f.u.): 0.00

abc: 11.2835 11.2835 3.9671
angles: 90.00 90.00 159.36
Atoms (fractional coordinates):
Ac: 0.1761 0.8239 0.0000
Ac: 0.8239 0.1761 0.0000
Nd: 0.0000 0.0000 0.0000
Mg: 0.4205 0.5795 0.5000
Mg: 0.5795 0.4205 0.5000


b:
Crystalline Ac2NdMg2 at its relaxed geometry, computed with PBE.

Results
Symmetry: No. 71
Total magnetization (μB/f.u.): 0.00

abc: 6.4837 6.4837 6.4837
angles: 129.47 115.47 86.23
Atoms (fractional coordinates):
Ac: 0.1955 0.1955 0.0000
Ac: 0.8045 0.8045 0.0000
Nd: 0.5000 0.0000 0.5000
Mg: 0.2167 0.5000 0.7167
Mg: 0.7833 0.5000 0.2833


Winner for stability: a


a:
Crystalline AcPrNdMg at its relaxed geometry, computed with PBE.

Results
Symmetry: No. 216
Total magnetization (μB/f.u.): 0.00

abc: 5.8247 5.8247 5.8247
angles: 60.00 60.00 60.00
Atoms (fractional coordinates):
Ac: 0.0000 0.0000 0.0000
Pr: 0.7500 0.7500 0.7500
Nd: 0.2500 0.2500 0.2500
Mg: 0.5000 0.5000 0.5000


b:
Crystalline AcPrNdMg at its relaxed geometry, computed with PBE.

Results
Symmetry: No. 99
Total magnetization (μB/f.u.): 0.00

abc: 3.8938 3.8938 9.1738
angles: 90.00 90.00 90.00
Atoms (fractional coordinates):
Ac: 0.0000 0.0000 0.0000
Pr: 0.5000 0.5000 0.7123
Nd: 0.5000 0.5000 0.2847
Mg: 0.0000 0.0000 0.4963


Winner for stability: b


a:
Crystalline AcTbNdMg at its relaxed geometry, computed with PBE.

Results
Symmetry: No. 99
Total magnetization (μB/f.u.): 0.00

abc: 3.8454 3.8454 9.0749
angles: 90.00 90.00 90.00
Atoms (fractional coordinates):
Ac: 0.0000 0.0000 0.0000
Tb: 0.5000 0.5000 0.2835
Nd: 0.5000 0.5000 0.7061
Mg: 0.0000 0.0000 0.4873


b:
Crystalline AcTbNdMg at its relaxed geometry, computed with PBE.

Results
Symmetry: No. 216
Total magnetization (μB/f.u.): 0.00

abc: 5.7606 5.7606 5.7606
angles: 60.00 60.00 60.00
Atoms (fractional coordinates):
Ac: 0.0000 0.0000 0.0000
Tb: 0.2500 0.2500 0.2500
Nd: 0.7500 0.7500 0.7500
Mg: 0.5000 0.5000 0.5000


Winner for stability: a


a:
Crystalline AcNdYMg at its relaxed geometry, computed with PBE.

Results
Symmetry: No. 99
Total magnetization (μB/f.u.): 0.00

abc: 3.8473 3.8473 9.0869
angles: 90.00 90.00 90.00
Atoms (fractional coordinates):
Ac: 0.0000 0.0000 0.0000
Nd: 0.5000 0.5000 0.7070
Y: 0.5000 0.5000 0.2855
Mg: 0.0000 0.0000 0.4877


b:
Crystalline AcNdYMg at its relaxed geometry, computed with PBE.

Results
Symmetry: No. 216
Total magnetization (μB/f.u.): 0.00

abc: 5.7636 5.7636 5.7636
angles: 60.00 60.00 60.00
Atoms (fractional coordinates):
Ac: 0.0000 0.0000 0.0000
Nd: 0.2500 0.2500 0.2500
Y: 0.7500 0.7500 0.7500
Mg: 0.5000 0.5000 0.5000


Winner for stability: a


a:
Crystalline Ac2MgNi at its relaxed geometry, computed with PBE.

Results
Symmetry: No. 123
Total magnetization (μB/f.u.): 0.00

abc: 3.7807 3.7807 8.3758
angles: 90.00 90.00 90.00
Atoms (fractional coordinates):
Ac: 0.0000 0.0000 0.2100
Ac: 0.0000 0.0000 0.7900
Mg: 0.5000 0.5000 0.5000
Ni: 0.5000 0.5000 0.0000


b:
Crystalline Ac2MgNi at its relaxed geometry, computed with PBE.

Results
Symmetry: No. 166
Total magnetization (μB/f.u.): 0.00

abc: 10.8271 10.8271 10.8271
angles: 22.16 22.16 22.16
Atoms (fractional coordinates):
Ac: 0.1152 0.1152 0.1152
Ac: 0.8848 0.8848 0.8848
Mg: 0.0000 0.0000 0.0000
Ni: 0.5000 0.5000 0.5000


Winner for stability: a


a:
Crystalline AcMgNi at its relaxed geometry, computed with PBE.

Results
Symmetry: No. 187
Total magnetization (μB/f.u.): 0.00

abc: 4.5561 4.5561 4.2661
angles: 90.00 90.00 120.00
Atoms (fractional coordinates):
Ac: 0.0000 0.0000 0.0000
Mg: 0.6667 0.3333 0.5000
Ni: 0.3333 0.6667 0.5000


b:
Crystalline AcMgNi at its relaxed geometry, computed with PBE.

Results
Symmetry: No. 65
Total magnetization (μB/f.u.): 0.00

abc: 3.5147 3.5147 11.9278
angles: 90.00 90.00 90.09
Atoms (fractional coordinates):
Ac: 0.0000 0.0000 0.2306
Ac: 0.0000 0.0000 0.7694
Mg: 0.0000 0.0000 0.5000
Mg: 0.5000 0.5000 0.0000
Ni: 0.5000 0.5000 0.3921
Ni: 0.5000 0.5000 0.6079


c:
Crystalline AcMgNi at its relaxed geometry, computed with PBE.

Results
Symmetry: No. 25
Total magnetization (μB/f.u.): 0.00

abc: 3.9403 4.7590 9.0561
angles: 90.00 90.00 90.00
Atoms (fractional coordinates):
Ac: 0.0000 0.0000 0.0000
Ac: 0.5000 0.5000 0.3425
Mg: 0.0000 0.0000 0.5817
Mg: 0.5000 0.5000 0.7456
Ni: 0.0000 0.5000 0.5631
Ni: 0.5000 0.5000 0.0280


d:
Crystalline AcMgNi at its relaxed geometry, computed with PBE.

Results
Symmetry: No. 216
Total magnetization (μB/f.u.): 0.00

abc: 4.8771 4.8771 4.8771
angles: 60.00 60.00 60.00
Atoms (fractional coordinates):
Ac: 0.0000 0.0000 0.0000
Mg: 0.5000 0.5000 0.5000
Ni: 0.7500 0.7500 0.7500


Winner for stability: a